Computed, not measured: crystalline NaGaTe2 at its relaxed geometry at the GGA-PBE level of DFT.

Values from the calculation:
Symmetry ... P1 (1)
Formation energy without anion corrections ... -565 meV/atom
N(E_F) ... 0.000 states/eV per atom
Total energy ... -3.22 eV/atom

Structure (CIF):
```
data_NaGaTe2
_chemical_formula_sum 'Na2 Ga2 Te4'
_space_group_name_H-M_alt 'P 1'
_space_group_IT_number 1
_space_group_name_Hall 'P 1'
_cell_length_a 6.680
_cell_length_b 6.785
_cell_length_c 7.119
_cell_angle_alpha 118.38
_cell_angle_beta 112.90
_cell_angle_gamma 90.35
loop_
_atom_site_label
_atom_site_type_symbol
_atom_site_fract_x
_atom_site_fract_y
_atom_site_fract_z
Na1 Na 0.000 0.000 0.000
Na2 Na 0.177 0.745 0.507
Ga1 Ga 0.581 0.438 0.020
Ga2 Ga 0.595 0.171 0.488
Te1 Te 0.248 0.292 0.584
Te2 Te 0.541 0.069 0.062
Te3 Te 0.634 0.761 0.446
Te4 Te 0.926 0.467 0.922
```

Computed, not measured: crystalline Tm2BiIO8 at its relaxed geometry at the GGA-PBE level of DFT.

Values from the calculation:
Symmetry ... P2/m (10)
Formation energy without anion corrections ... -1872 meV/atom
Total energy ... -6.38 eV/atom

Structure (CIF):
```
data_Tm2BiIO8
_chemical_formula_sum 'Tm2 Bi1 I1 O8'
_space_group_name_H-M_alt 'P 1'
_space_group_IT_number 1
_space_group_name_Hall 'P 1'
_cell_length_a 5.001
_cell_length_b 6.906
_cell_length_c 5.004
_cell_angle_alpha 90.00
_cell_angle_beta 90.27
_cell_angle_gamma 90.00
loop_
_atom_site_label
_atom_site_type_symbol
_atom_site_fract_x
_atom_site_fract_y
_atom_site_fract_z
Tm1 Tm 0.000 0.248 0.000
Tm2 Tm 0.000 0.752 0.000
Bi1 Bi 0.500 0.000 0.500
I1 I 0.500 0.500 0.500
O1 O 0.183 0.000 0.181
O2 O 0.230 0.500 0.228
O3 O 0.314 0.297 0.684
O4 O 0.314 0.703 0.684
O5 O 0.686 0.297 0.316
O6 O 0.686 0.703 0.316
O7 O 0.770 0.500 0.772
O8 O 0.817 0.000 0.819
```

Computed, not measured: crystalline K2AgW at its relaxed geometry at the GGA-PBE level of DFT.

Values from the calculation:
Energy relative to the elements ... 1.17 eV per atom
Symmetry ... P4mm (99)
Distance to the lowest polymorph of the same formula ... 144 meV/atom
N(E_F) ... 0.689 states/eV per atom
Total energy ... -3.33 eV/atom

Structure (CIF):
```
data_K2AgW
_chemical_formula_sum 'K2 Ag1 W1'
_space_group_name_H-M_alt 'P 1'
_space_group_IT_number 1
_space_group_name_Hall 'P 1'
_cell_length_a 3.634
_cell_length_b 3.634
_cell_length_c 10.304
_cell_angle_alpha 90.00
_cell_angle_beta 90.00
_cell_angle_gamma 90.00
loop_
_atom_site_label
_atom_site_type_symbol
_atom_site_fract_x
_atom_site_fract_y
_atom_site_fract_z
K1 K 0.000 0.000 0.000
K2 K 0.500 0.500 0.408
Ag1 Ag 0.500 0.500 0.758
W1 W 0.000 0.000 0.667
```

Computed, not measured: crystalline TbNd2Tl3 at its relaxed geometry at the GGA-PBE level of DFT.

Values from the calculation:
Energy relative to the elements ... -0.38 eV per atom
Symmetry ... P4/mmm (123)
N(E_F) ... 0.859 states/eV per atom
Total energy ... -3.93 eV/atom

Structure (CIF):
```
data_TbNd2Tl3
_chemical_formula_sum 'Tb1 Nd2 Tl3'
_space_group_name_H-M_alt 'P 1'
_space_group_IT_number 1
_space_group_name_Hall 'P 1'
_cell_length_a 3.842
_cell_length_b 3.842
_cell_length_c 11.822
_cell_angle_alpha 90.00
_cell_angle_beta 90.00
_cell_angle_gamma 90.00
loop_
_atom_site_label
_atom_site_type_symbol
_atom_site_fract_x
_atom_site_fract_y
_atom_site_fract_z
Tb1 Tb 0.000 0.000 0.000
Nd1 Nd 0.000 0.000 0.329
Nd2 Nd 0.000 0.000 0.671
Tl1 Tl 0.500 0.500 0.158
Tl2 Tl 0.500 0.500 0.500
Tl3 Tl 0.500 0.500 0.842
```

Computed, not measured: crystalline Lu2AlZn at its relaxed geometry at the GGA-PBE level of DFT.

Values from the calculation:
Energy relative to the elements ... 0.15 eV per atom
Symmetry ... R-3m (166)
Distance to the lowest polymorph of the same formula ... 532 meV/atom
N(E_F) ... 0.712 states/eV per atom
Total energy ... -3.36 eV/atom

Structure (CIF):
```
data_Lu2AlZn
_chemical_formula_sum 'Lu6 Al3 Zn3'
_space_group_name_H-M_alt 'P 1'
_space_group_IT_number 1
_space_group_name_Hall 'P 1'
_cell_length_a 3.354
_cell_length_b 3.354
_cell_length_c 31.517
_cell_angle_alpha 90.00
_cell_angle_beta 90.00
_cell_angle_gamma 120.00
loop_
_atom_site_label
_atom_site_type_symbol
_atom_site_fract_x
_atom_site_fract_y
_atom_site_fract_z
Lu1 Lu 0.000 0.000 0.095
Lu2 Lu 0.000 0.000 0.905
Lu3 Lu 0.333 0.667 0.572
Lu4 Lu 0.333 0.667 0.761
Lu5 Lu 0.667 0.333 0.239
Lu6 Lu 0.667 0.333 0.428
Al1 Al 0.000 0.000 0.500
Al2 Al 0.333 0.667 0.167
Al3 Al 0.667 0.333 0.833
Zn1 Zn 0.000 0.000 0.000
Zn2 Zn 0.333 0.667 0.667
Zn3 Zn 0.667 0.333 0.333
```

Computed, not measured: crystalline RbHgPdI2 at its relaxed geometry at the GGA-PBE level of DFT.

Values from the calculation:
Symmetry ... P4/mmm (123)
Formation energy without anion corrections ... -630 meV/atom
N(E_F) ... 0.143 states/eV per atom
Total energy ... -2.54 eV/atom

Structure (CIF):
```
data_RbHgPdI2
_chemical_formula_sum 'Rb1 Hg1 Pd1 I2'
_space_group_name_H-M_alt 'P 1'
_space_group_IT_number 1
_space_group_name_Hall 'P 1'
_cell_length_a 5.732
_cell_length_b 5.732
_cell_length_c 5.399
_cell_angle_alpha 90.00
_cell_angle_beta 90.00
_cell_angle_gamma 90.00
loop_
_atom_site_label
_atom_site_type_symbol
_atom_site_fract_x
_atom_site_fract_y
_atom_site_fract_z
Rb1 Rb 0.000 0.000 0.000
Hg1 Hg 0.500 0.500 0.000
Pd1 Pd 0.500 0.500 0.500
I1 I 0.000 0.500 0.500
I2 I 0.500 0.000 0.500
```

Computed, not measured: crystalline AcNd3Ir at its relaxed geometry at the GGA-PBE level of DFT.

Values from the calculation:
Energy relative to the elements ... -0.22 eV per atom
Symmetry ... C2/m (12)
Distance to the lowest polymorph of the same formula ... 43 meV/atom
N(E_F) ... 1.192 states/eV per atom
Total energy ... -5.67 eV/atom

Structure (CIF):
```
data_AcNd3Ir
_chemical_formula_sum 'Ac2 Nd6 Ir2'
_space_group_name_H-M_alt 'P 1'
_space_group_IT_number 1
_space_group_name_Hall 'P 1'
_cell_length_a 7.218
_cell_length_b 7.218
_cell_length_c 6.973
_cell_angle_alpha 106.28
_cell_angle_beta 106.28
_cell_angle_gamma 88.99
loop_
_atom_site_label
_atom_site_type_symbol
_atom_site_fract_x
_atom_site_fract_y
_atom_site_fract_z
Ac1 Ac 0.071 0.071 0.279
Ac2 Ac 0.929 0.929 0.721
Nd1 Nd 0.065 0.562 0.264
Nd2 Nd 0.438 0.438 0.737
Nd3 Nd 0.438 0.935 0.736
Nd4 Nd 0.562 0.065 0.264
Nd5 Nd 0.562 0.562 0.263
Nd6 Nd 0.935 0.438 0.736
Ir1 Ir 0.253 0.253 0.992
Ir2 Ir 0.747 0.747 0.008
```

Computed, not measured: crystalline MgTi2N at its relaxed geometry at the GGA-PBE level of DFT.

Values from the calculation:
Symmetry ... I-42d (122)
Formation energy without anion corrections ... -341 meV/atom
N(E_F) ... 1.689 states/eV per atom
Total energy ... -6.77 eV/atom

Structure (CIF):
```
data_MgTi2N
_chemical_formula_sum 'Mg4 Ti8 N4'
_space_group_name_H-M_alt 'P 1'
_space_group_IT_number 1
_space_group_name_Hall 'P 1'
_cell_length_a 6.220
_cell_length_b 6.220
_cell_length_c 7.210
_cell_angle_alpha 90.00
_cell_angle_beta 90.00
_cell_angle_gamma 90.00
loop_
_atom_site_label
_atom_site_type_symbol
_atom_site_fract_x
_atom_site_fract_y
_atom_site_fract_z
Mg1 Mg 0.000 0.000 0.000
Mg2 Mg 0.000 0.500 0.250
Mg3 Mg 0.500 0.000 0.750
Mg4 Mg 0.500 0.500 0.500
Ti1 Ti 0.119 0.250 0.625
Ti2 Ti 0.250 0.619 0.875
Ti3 Ti 0.250 0.881 0.375
Ti4 Ti 0.381 0.250 0.125
Ti5 Ti 0.619 0.750 0.125
Ti6 Ti 0.750 0.119 0.375
Ti7 Ti 0.750 0.381 0.875
Ti8 Ti 0.881 0.750 0.625
N1 N 0.000 0.000 0.500
N2 N 0.000 0.500 0.750
N3 N 0.500 0.000 0.250
N4 N 0.500 0.500 0.000
```